i | The following is a PBE calculation of a relaxed structure of Mg6InPt, from Alexandria.

Results
The total moment is 0.00 μB/f.u.

Unit cell a=8.351 b=8.351 c=8.351 alpha=33.68 beta=33.68 gamma=33.68
Element x y z (fractional)
Mg (0.117, 0.117, 0.117)
Mg (0.250, 0.250, 0.250)
Mg (0.369, 0.369, 0.369)
Mg (0.631, 0.631, 0.631)
Mg (0.750, 0.750, 0.750)
Mg (0.883, 0.883, 0.883)
In (0.500, 0.500, 0.500)
Pt (0.000, 0.000, 0.000)

ii | The following is a PBE calculation of a relaxed structure of Mg6InPt, from Alexandria.

Results
The total moment is 0.00 μB/f.u.

Unit cell a=6.244 b=6.244 c=6.272 alpha=104.23 beta=104.23 gamma=118.37
Element x y z (fractional)
Mg (0.008, 0.427, 0.243)
Mg (0.234, 0.234, 0.768)
Mg (0.427, 0.008, 0.243)
Mg (0.573, 0.992, 0.757)
Mg (0.766, 0.766, 0.232)
Mg (0.992, 0.573, 0.757)
In (0.500, 0.500, 0.500)
Pt (0.000, 0.000, 0.000)

The structure with the most favorable energy is i; the runner-up is 0.176 eV/atom above it.

i | The following is a PBE calculation of a relaxed structure of Mg3InPt, from Alexandria.

Results
The total moment is 0.00 μB/f.u.

Unit cell a=5.037 b=5.037 c=5.037 alpha=90.00 beta=90.00 gamma=90.00
Element x y z (fractional)
Mg (0.000, 0.000, 0.500)
Mg (0.000, 0.500, 0.000)
Mg (0.500, 0.000, 0.000)
In (0.500, 0.500, 0.500)
Pt (0.000, 0.000, 0.000)

ii | The following is a PBE calculation of a relaxed structure of Mg3InPt, from Alexandria.

Results
The total moment is 0.00 μB/f.u.

Unit cell a=4.480 b=7.737 c=6.049 alpha=90.00 beta=90.00 gamma=90.00
Element x y z (fractional)
Mg (0.250, 0.057, 0.191)
Mg (0.250, 0.250, 0.755)
Mg (0.250, 0.443, 0.191)
Mg (0.750, 0.557, 0.809)
Mg (0.750, 0.750, 0.245)
Mg (0.750, 0.943, 0.809)
In (0.250, 0.750, 0.545)
In (0.750, 0.250, 0.455)
Pt (0.250, 0.750, 0.993)
Pt (0.750, 0.250, 0.007)

iii | The following is a PBE calculation of a relaxed structure of Mg3InPt, from Alexandria.

Results
The total moment is 0.00 μB/f.u.

Unit cell a=5.575 b=5.575 c=8.992 alpha=91.79 beta=91.79 gamma=48.52
Element x y z (fractional)
Mg (0.095, 0.095, 0.363)
Mg (0.125, 0.125, 0.891)
Mg (0.388, 0.388, 0.364)
Mg (0.612, 0.612, 0.636)
Mg (0.875, 0.875, 0.109)
Mg (0.905, 0.905, 0.637)
In (0.409, 0.409, 0.871)
In (0.591, 0.591, 0.129)
Pt (0.244, 0.244, 0.618)
Pt (0.756, 0.756, 0.382)

The structure with the most favorable energy is ii; the runner-up is 0.023 eV/atom above it.

i | The following is a PBE calculation of a relaxed structure of PuMg2In, from Alexandria.

Results
The total moment is 5.98 μB/f.u.

Unit cell a=3.212 b=3.212 c=9.427 alpha=90.00 beta=90.00 gamma=90.00
Element x y z (fractional)
Pu (0.000, 0.000, 0.000)
Mg (0.500, 0.500, 0.267)
Mg (0.500, 0.500, 0.733)
In (0.000, 0.000, 0.500)

ii | The following is a PBE calculation of a relaxed structure of PuMg2In, from Alexandria.

Results
The total moment is 6.06 μB/f.u.

Unit cell a=5.128 b=5.128 c=5.128 alpha=60.00 beta=60.00 gamma=60.00
Element x y z (fractional)
Pu (0.000, 0.000, 0.000)
Mg (0.250, 0.250, 0.250)
Mg (0.750, 0.750, 0.750)
In (0.500, 0.500, 0.500)

The structure with the most favorable energy is i; the runner-up is 0.012 eV/atom above it.